Material: Cu2NiAgN
Method: DFT, PBE-GGA
State: optimized geometry

extended XYZ file:
```
5
Lattice="3.9381 0.0000 0.0000 0.0000 3.9381 0.0000 0.0000 0.0000 3.7995" Properties=species:S:1:pos:R:3 pbc="T T T"
Cu 0.0000 1.9690 0.0000
Cu 1.9690 0.0000 0.0000
Ni 0.0000 0.0000 1.8998
Ag 1.9690 1.9690 1.8998
N 0.0000 0.0000 0.0000
```

Properties
- Uncorrected formation energy: 0.647 eV/f.u.
- Total magnetization: 0.000 μB per atom